Record 1
# YEr2Sc3P2Os (PBE, optimized geometry)
data_YEr2Sc3P2Os
_cell_length_a 4.054
_cell_length_b 7.389
_cell_length_c 7.389
_cell_angle_alpha 119.92
_cell_angle_beta 90.00
_cell_angle_gamma 90.00
_symmetry_space_group_name_H-M 'P 1'
_symmetry_Int_Tables_number 1
loop_
_symmetry_equiv_pos_as_xyz
'x,y,z'
loop_
_atom_site_label
_atom_site_fract_x
_atom_site_fract_y
_atom_site_fract_z
Y1 0.000 0.000 0.000
Er1 0.000 0.413 0.825
Er2 0.000 0.825 0.413
Sc1 0.500 0.172 0.413
Sc2 0.500 0.413 0.172
Sc3 0.500 0.658 0.658
P1 0.500 0.081 0.745
P2 0.500 0.745 0.081
Os1 0.000 0.419 0.419
# * space group: Amm2 (38)
# * raw total energy: -64.4 eV per formula unit
# * calculated volume: 21.32 Å³ per atom

***

Record 2
# KTcO3 (PBE, optimized geometry)
data_KTcO3
_cell_length_a 5.249
_cell_length_b 10.432
_cell_length_c 6.066
_cell_angle_alpha 90.00
_cell_angle_beta 90.00
_cell_angle_gamma 90.00
_symmetry_space_group_name_H-M 'P 1'
_symmetry_Int_Tables_number 1
loop_
_symmetry_equiv_pos_as_xyz
'x,y,z'
loop_
_atom_site_label
_atom_site_fract_x
_atom_site_fract_y
_atom_site_fract_z
K1 0.000 0.000 0.000
K2 0.000 0.500 0.000
K3 0.500 0.000 0.500
K4 0.500 0.500 0.500
Tc1 0.000 0.250 0.461
Tc2 0.000 0.750 0.539
Tc3 0.500 0.250 0.039
Tc4 0.500 0.750 0.961
O1 0.062 0.109 0.607
O2 0.062 0.391 0.607
O3 0.167 0.250 0.175
O4 0.333 0.750 0.675
O5 0.438 0.609 0.107
O6 0.438 0.891 0.107
O7 0.562 0.109 0.893
O8 0.562 0.391 0.893
O9 0.667 0.250 0.325
O10 0.833 0.750 0.825
O11 0.938 0.609 0.393
O12 0.938 0.891 0.393
# * space group: Pnma (62)
# * raw total energy: -33.5 eV per formula unit
# * calculated volume: 16.61 Å³ per atom

***

Record 3
# PrAuSeO (PBE, optimized geometry)
data_PrAuSeO
_cell_length_a 5.913
_cell_length_b 5.910
_cell_length_c 11.482
_cell_angle_alpha 90.00
_cell_angle_beta 92.50
_cell_angle_gamma 90.00
_symmetry_space_group_name_H-M 'P 1'
_symmetry_Int_Tables_number 1
loop_
_symmetry_equiv_pos_as_xyz
'x,y,z'
loop_
_atom_site_label
_atom_site_fract_x
_atom_site_fract_y
_atom_site_fract_z
Pr1 0.008 0.000 0.099
Pr2 0.492 0.000 0.900
Pr3 0.508 0.500 0.100
Pr4 0.992 0.500 0.901
Au1 0.003 0.025 0.722
Au2 0.310 0.278 0.504
Au3 0.690 0.778 0.496
Au4 0.997 0.525 0.278
Se1 0.293 0.232 0.294
Se2 0.300 0.320 0.713
Se3 0.700 0.820 0.287
Se4 0.707 0.732 0.706
O1 0.249 0.249 0.001
O2 0.251 0.749 0.000
O3 0.749 0.249 0.000
O4 0.751 0.749 0.999
# * space group: P2_1 (4)
# * raw total energy: -23.8 eV per formula unit
# * calculated volume: 25.05 Å³ per atom

***

Record 4
# Zr2TcPd (PBE, optimized geometry)
data_Zr2TcPd
_cell_length_a 4.701
_cell_length_b 6.610
_cell_length_c 4.700
_cell_angle_alpha 90.00
_cell_angle_beta 90.00
_cell_angle_gamma 90.00
_symmetry_space_group_name_H-M 'P 1'
_symmetry_Int_Tables_number 1
loop_
_symmetry_equiv_pos_as_xyz
'x,y,z'
loop_
_atom_site_label
_atom_site_fract_x
_atom_site_fract_y
_atom_site_fract_z
Zr1 0.250 0.000 0.250
Zr2 0.250 0.500 0.250
Zr3 0.750 0.000 0.750
Zr4 0.750 0.500 0.750
Tc1 0.250 0.250 0.750
Tc2 0.750 0.750 0.250
Pd1 0.250 0.750 0.749
Pd2 0.750 0.250 0.251
# * space group: Pmmn (59)
# * energy above the most stable polymorph in this dataset: 0.218 eV per formula unit
# * raw total energy: -34.7 eV per formula unit
# * formation energy from the elements: -2.1 eV/f.u.
# * calculated volume: 18.25 Å³ per atom

***

Record 5
# TbO (PBE, optimized geometry)
data_TbO
_cell_length_a 2.958
_cell_length_b 2.958
_cell_length_c 2.958
_cell_angle_alpha 90.00
_cell_angle_beta 90.00
_cell_angle_gamma 90.00
_symmetry_space_group_name_H-M 'P 1'
_symmetry_Int_Tables_number 1
loop_
_symmetry_equiv_pos_as_xyz
'x,y,z'
loop_
_atom_site_label
_atom_site_fract_x
_atom_site_fract_y
_atom_site_fract_z
Tb1 0.000 0.000 0.000
O1 0.500 0.500 0.500
# * space group: Pm-3m (221)
# * raw total energy: -14.0 eV per formula unit
# * calculated volume: 12.95 Å³ per atom

***

Record 6
# NaGdFeSe3 (PBE, optimized geometry)
data_NaGdFeSe3
_cell_length_a 13.834
_cell_length_b 4.012
_cell_length_c 11.101
_cell_angle_alpha 90.00
_cell_angle_beta 90.00
_cell_angle_gamma 90.00
_symmetry_space_group_name_H-M 'P 1'
_symmetry_Int_Tables_number 1
loop_
_symmetry_equiv_pos_as_xyz
'x,y,z'
loop_
_atom_site_label
_atom_site_fract_x
_atom_site_fract_y
_atom_site_fract_z
Na1 0.229 0.250 0.051
Na2 0.271 0.750 0.551
Na3 0.729 0.250 0.449
Na4 0.771 0.750 0.949
Gd1 0.014 0.250 0.341
Gd2 0.486 0.750 0.841
Gd3 0.514 0.250 0.159
Gd4 0.986 0.750 0.659
Fe1 0.008 0.750 0.080
Fe2 0.492 0.250 0.580
Fe3 0.508 0.750 0.420
Fe4 0.992 0.250 0.920
Se1 0.099 0.750 0.888
Se2 0.113 0.250 0.566
Se3 0.134 0.750 0.230
Se4 0.366 0.250 0.730
Se5 0.387 0.750 0.066
Se6 0.401 0.250 0.388
Se7 0.599 0.750 0.612
Se8 0.613 0.250 0.934
Se9 0.634 0.750 0.270
Se10 0.866 0.250 0.770
Se11 0.887 0.750 0.434
Se12 0.901 0.250 0.112
# * space group: Pnma (62)
# * energy above the most stable polymorph in this dataset: 0.007 eV per formula unit
# * raw total energy: -31.6 eV per formula unit
# * calculated volume: 25.67 Å³ per atom

***

Record 7
# LiTbNO (PBE, optimized geometry)
data_LiTbNO
_cell_length_a 4.777
_cell_length_b 4.777
_cell_length_c 4.457
_cell_angle_alpha 90.00
_cell_angle_beta 90.00
_cell_angle_gamma 90.00
_symmetry_space_group_name_H-M 'P 1'
_symmetry_Int_Tables_number 1
loop_
_symmetry_equiv_pos_as_xyz
'x,y,z'
loop_
_atom_site_label
_atom_site_fract_x
_atom_site_fract_y
_atom_site_fract_z
Li1 0.250 0.250 0.002
Li2 0.750 0.750 0.998
Tb1 0.250 0.750 0.500
Tb2 0.750 0.250 0.500
N1 0.250 0.250 0.497
N2 0.750 0.750 0.503
O1 0.250 0.750 0.000
O2 0.750 0.250 0.000
# * space group: P4/nmm (129)
# * energy above the most stable polymorph in this dataset: 0.409 eV per formula unit
# * raw total energy: -25.8 eV per formula unit
# * calculated volume: 12.71 Å³ per atom

***

Record 8
# KNd2OsO6 (PBE, optimized geometry)
data_KNd2OsO6
_cell_length_a 6.871
_cell_length_b 6.871
_cell_length_c 8.530
_cell_angle_alpha 101.96
_cell_angle_beta 101.96
_cell_angle_gamma 49.04
_symmetry_space_group_name_H-M 'P 1'
_symmetry_Int_Tables_number 1
loop_
_symmetry_equiv_pos_as_xyz
'x,y,z'
loop_
_atom_site_label
_atom_site_fract_x
_atom_site_fract_y
_atom_site_fract_z
K1 0.121 0.121 0.478
K2 0.879 0.879 0.522
Nd1 0.129 0.129 0.924
Nd2 0.418 0.418 0.791
Nd3 0.582 0.582 0.209
Nd4 0.871 0.871 0.076
Os1 0.334 0.334 0.284
Os2 0.666 0.666 0.716
O1 0.005 0.536 0.831
O2 0.205 0.689 0.302
O3 0.251 0.749 0.000
O4 0.311 0.795 0.698
O5 0.336 0.336 0.505
O6 0.464 0.995 0.169
O7 0.536 0.005 0.831
O8 0.664 0.664 0.495
O9 0.689 0.205 0.302
O10 0.749 0.251 0.000
O11 0.795 0.311 0.698
O12 0.995 0.464 0.169
# * space group: C2/m (12)
# * energy above the most stable polymorph in this dataset: 0.027 eV per formula unit
# * raw total energy: -74.0 eV per formula unit
# * calculated volume: 14.81 Å³ per atom

***

Record 9
# NdGdGa2Au2 (PBE, optimized geometry)
data_NdGdGa2Au2
_cell_length_a 4.581
_cell_length_b 4.581
_cell_length_c 7.321
_cell_angle_alpha 90.00
_cell_angle_beta 90.00
_cell_angle_gamma 120.00
_symmetry_space_group_name_H-M 'P 1'
_symmetry_Int_Tables_number 1
loop_
_symmetry_equiv_pos_as_xyz
'x,y,z'
loop_
_atom_site_label
_atom_site_fract_x
_atom_site_fract_y
_atom_site_fract_z
Nd1 0.000 0.000 0.000
Gd1 0.000 0.000 0.500
Ga1 0.333 0.667 0.286
Ga2 0.333 0.667 0.714
Au1 0.667 0.333 0.250
Au2 0.667 0.333 0.750
# * space group: P-6m2 (187)
# * energy above the most stable polymorph in this dataset: 0.000 eV per formula unit
# * raw total energy: -26.8 eV per formula unit
# * calculated volume: 22.18 Å³ per atom

***

Record 10
# Dy2GaSn (PBE, optimized geometry)
data_Dy2GaSn
_cell_length_a 3.266
_cell_length_b 6.742
_cell_length_c 6.742
_cell_angle_alpha 53.23
_cell_angle_beta 90.00
_cell_angle_gamma 90.00
_symmetry_space_group_name_H-M 'P 1'
_symmetry_Int_Tables_number 1
loop_
_symmetry_equiv_pos_as_xyz
'x,y,z'
loop_
_atom_site_label
_atom_site_fract_x
_atom_site_fract_y
_atom_site_fract_z
Dy1 0.000 0.000 0.000
Dy2 0.000 0.287 0.287
Ga1 0.000 0.767 0.767
Sn1 0.000 0.546 0.546
# * space group: Amm2 (38)
# * raw total energy: -15.8 eV per formula unit
# * calculated volume: 29.73 Å³ per atom

***

Record 11
# RbAuSeO (PBE, optimized geometry)
data_RbAuSeO
_cell_length_a 4.762
_cell_length_b 6.935
_cell_length_c 6.689
_cell_angle_alpha 90.00
_cell_angle_beta 90.00
_cell_angle_gamma 90.00
_symmetry_space_group_name_H-M 'P 1'
_symmetry_Int_Tables_number 1
loop_
_symmetry_equiv_pos_as_xyz
'x,y,z'
loop_
_atom_site_label
_atom_site_fract_x
_atom_site_fract_y
_atom_site_fract_z
Rb1 0.000 0.166 0.000
Rb2 0.000 0.834 0.500
Au1 0.500 0.461 0.596
Au2 0.500 0.539 0.096
Se1 0.000 0.345 0.522
Se2 0.000 0.655 0.022
O1 0.500 0.336 0.870
O2 0.500 0.664 0.370
# * space group: Pmc2_1 (26)
# * energy above the most stable polymorph in this dataset: 1.111 eV per formula unit
# * raw total energy: -14.5 eV per formula unit
# * calculated volume: 27.61 Å³ per atom

***

Record 12
# HoTm2TlCd3Ga2 (PBE, optimized geometry)
data_HoTm2TlCd3Ga2
_cell_length_a 4.494
_cell_length_b 7.289
_cell_length_c 7.289
_cell_angle_alpha 120.11
_cell_angle_beta 90.00
_cell_angle_gamma 90.00
_symmetry_space_group_name_H-M 'P 1'
_symmetry_Int_Tables_number 1
loop_
_symmetry_equiv_pos_as_xyz
'x,y,z'
loop_
_atom_site_label
_atom_site_fract_x
_atom_site_fract_y
_atom_site_fract_z
Ho1 0.000 0.000 0.000
Tm1 0.000 0.434 0.869
Tm2 0.000 0.869 0.434
Tl1 0.000 0.436 0.436
Cd1 0.500 0.173 0.434
Cd2 0.500 0.434 0.173
Cd3 0.500 0.695 0.695
Ga1 0.500 0.101 0.767
Ga2 0.500 0.767 0.101
# * space group: Amm2 (38)
# * raw total energy: -28.4 eV per formula unit
# * calculated volume: 22.95 Å³ per atom

***

Question: What is the calculated volume in the seventh record?
Answer: 12.71 Å³ per atom